Compound: LuHfPtRh
Source: Alexandria via LeMat-Bulk
Functional: PBE-GGA
Structure: optimized geometry

a b c (Å): 4.7326 4.7326 4.7326
angles (deg): 60.00 60.00 60.00
Closest atoms and distances in Å follow each position.
Atoms (fractional coordinates):
Lu (0.0000, 0.0000, 0.0000)  4 Pt 2.90, 4 Rh 2.90
Hf (0.5000, 0.5000, 0.5000)  4 Rh 2.90, 4 Pt 2.90
Pt (0.7500, 0.7500, 0.7500)  4 Hf 2.90, 4 Lu 2.90
Rh (0.2500, 0.2500, 0.2500)  4 Hf 2.90, 4 Lu 2.90

## Properties
E_form = -4.0 eV/f.u.
D(E_F) = 1.13 states/eV/atom
space group = F-43m (216)
uncorrected energy = -7.9731 eV per atom


Compound: LuHfRuPt
Source: Alexandria via LeMat-Bulk
Functional: PBE-GGA
Structure: optimized geometry

a b c (Å): 4.7056 4.7056 4.7056
angles (deg): 60.00 60.00 60.00
Closest atoms and distances in Å follow each position.
Atoms (fractional coordinates):
Hf (0.5000, 0.5000, 0.5000)  4 Pt 2.88, 4 Ru 2.88
Lu (0.0000, 0.0000, 0.0000)  4 Ru 2.88, 4 Pt 2.88
Ru (0.7500, 0.7500, 0.7500)  4 Lu 2.88, 4 Hf 2.88
Pt (0.2500, 0.2500, 0.2500)  4 Hf 2.88, 4 Lu 2.88

## Properties
E_form = -3.5 eV/f.u.
D(E_F) = 0.45 states/eV/atom
space group = F-43m (216)
uncorrected energy = -8.3186 eV per atom


Compound: LuHfTcPt
Source: Alexandria via LeMat-Bulk
Functional: PBE-GGA
Structure: optimized geometry

a b c (Å): 4.7022 4.7022 4.7022
angles (deg): 60.00 60.00 60.00
Closest atoms and distances in Å follow each position.
Atoms (fractional coordinates):
Hf (0.0000, 0.0000, 0.0000)  4 Pt 2.88, 4 Tc 2.88
Tc (0.2500, 0.2500, 0.2500)  4 Hf 2.88, 4 Lu 2.88
Lu (0.5000, 0.5000, 0.5000)  4 Pt 2.88, 4 Tc 2.88
Pt (0.7500, 0.7500, 0.7500)  4 Lu 2.88, 4 Hf 2.88

## Properties
E_form = -3.1 eV/f.u.
D(E_F) = 0.22 states/eV/atom
space group = F-43m (216)
uncorrected energy = -8.4830 eV per atom


Compound: LuHfZnPt
Source: Alexandria via LeMat-Bulk
Functional: PBE-GGA
Structure: optimized geometry

a b c (Å): 4.7866 4.7866 4.7866
angles (deg): 60.00 60.00 60.00
Closest atoms and distances in Å follow each position.
Atoms (fractional coordinates):
Lu (0.0000, 0.0000, 0.0000)  4 Pt 2.93, 4 Zn 2.93
Zn (0.2500, 0.2500, 0.2500)  4 Hf 2.93, 4 Lu 2.93
Pt (0.7500, 0.7500, 0.7500)  4 Hf 2.93, 4 Lu 2.93
Hf (0.5000, 0.5000, 0.5000)  4 Zn 2.93, 4 Pt 2.93

## Properties
E_form = -2.7 eV/f.u.
D(E_F) = 0.70 states/eV/atom
space group = F-43m (216)
uncorrected energy = -6.1176 eV per atom


Compound: LuPuHf
Source: Alexandria via LeMat-Bulk
Functional: PBE-GGA
Structure: optimized geometry

a b c (Å): 3.1636 5.2214 5.2214
angles (deg): 120.00 90.00 90.00
Closest atoms and distances in Å follow each position.
Atoms (fractional coordinates):
Pu (0.1666, 0.3333, 0.6667)  3 Hf 3.01, 2 Pu 3.16
Hf (0.1668, 0.0000, 0.0000)  3 Pu 3.01, 2 Hf 3.16
Lu (0.6666, 0.6667, 0.3333)  2 Lu 3.16, 6 Hf 3.40, 6 Pu 3.40

## Properties
E_form = 0.5 eV/f.u.
D(E_F) = 3.03 states/eV/atom
ΔE to the lowest computed polymorph = 46 meV per atom
space group = P-6m2 (187)
uncorrected energy = -9.4194 eV per atom


Compound: LuPuHf
Source: Alexandria via LeMat-Bulk
Functional: PBE-GGA
Structure: optimized geometry

a b c (Å): 3.2840 3.2840 7.4732
angles (deg): 102.69 102.69 90.00
Closest atoms and distances in Å follow each position.
Atoms (fractional coordinates):
Lu (0.0056, 0.0056, 0.0112)  4 Lu 3.28, 4 Hf 3.29, 4 Pu 3.46
Pu (0.3250, 0.3250, 0.6499)  4 Hf 3.21, 4 Pu 3.28, 4 Lu 3.46
Hf (0.6694, 0.6694, 0.3389)  4 Pu 3.21, 4 Hf 3.28, 4 Lu 3.29

## Properties
E_form = 0.4 eV/f.u.
D(E_F) = 2.29 states/eV/atom
ΔE to the lowest computed polymorph = 0 meV per atom
space group = I4mm (107)
uncorrected energy = -9.4651 eV per atom


Compound: LuPuHf2
Source: Alexandria via LeMat-Bulk
Functional: PBE-GGA
Structure: optimized geometry

a b c (Å): 3.7513 3.7513 6.9171
angles (deg): 90.00 90.00 90.00
Closest atoms and distances in Å follow each position.
Atoms (fractional coordinates):
Lu (0.5000, 0.5000, 0.5000)  8 Hf 3.28, 2 Pu 3.46
Hf (0.0000, 0.0000, 0.7799)  1 Hf 3.04, 4 Pu 3.06, 4 Lu 3.28
Hf (0.0000, 0.0000, 0.2201)  1 Hf 3.04, 4 Pu 3.06, 4 Lu 3.28
Pu (0.5000, 0.5000, 0.0000)  8 Hf 3.06

## Properties
E_form = 0.9 eV/f.u.
D(E_F) = 1.96 states/eV/atom
ΔE to the lowest computed polymorph = 65 meV per atom
space group = P4/mmm (123)
uncorrected energy = -9.4759 eV per atom


Compound: LuPuHf2
Source: Alexandria via LeMat-Bulk
Functional: PBE-GGA
Structure: optimized geometry

a b c (Å): 4.5986 4.5916 4.5916
angles (deg): 90.00 90.00 90.00
Closest atoms and distances in Å follow each position.
Atoms (fractional coordinates):
Hf (0.0000, 0.0000, 0.5000)  4 Hf 3.25, 4 Lu 3.25, 4 Pu 3.25
Lu (0.5000, 0.0000, 0.0000)  4 Pu 3.25, 8 Hf 3.25
Hf (0.0000, 0.5000, 0.0000)  4 Hf 3.25, 4 Pu 3.25, 4 Lu 3.25
Pu (0.5000, 0.5000, 0.5000)  4 Lu 3.25, 8 Hf 3.25

## Properties
E_form = 0.6 eV/f.u.
D(E_F) = 2.78 states/eV/atom
ΔE to the lowest computed polymorph = 0 meV per atom
space group = P4/mmm (123)
uncorrected energy = -9.5405 eV per atom


Compound: LuHfScRe
Source: Alexandria via LeMat-Bulk
Functional: PBE-GGA
Structure: optimized geometry

a b c (Å): 4.8800 4.8800 4.8800
angles (deg): 60.00 60.00 60.00
Closest atoms and distances in Å follow each position.
Atoms (fractional coordinates):
Lu (0.2500, 0.2500, 0.2500)  4 Re 2.99, 4 Sc 2.99
Sc (0.0000, 0.0000, 0.0000)  4 Hf 2.99, 4 Lu 2.99
Re (0.5000, 0.5000, 0.5000)  4 Lu 2.99, 4 Hf 2.99
Hf (0.7500, 0.7500, 0.7500)  4 Re 2.99, 4 Sc 2.99

## Properties
E_form = 0.1 eV/f.u.
D(E_F) = 0.88 states/eV/atom
space group = F-43m (216)
uncorrected energy = -8.2894 eV per atom


Compound: LuHfRh4
Source: Alexandria via LeMat-Bulk
Functional: PBE-GGA
Structure: optimized geometry

a b c (Å): 5.2367 5.2367 5.2367
angles (deg): 60.00 60.00 60.00
Closest atoms and distances in Å follow each position.
Atoms (fractional coordinates):
Lu (0.2500, 0.2500, 0.2500)  12 Rh 3.07, 4 Hf 3.21
Rh (0.6249, 0.6249, 0.6249)  6 Rh 2.62
Rh (0.6249, 0.1252, 0.6249)  6 Rh 2.62
Rh (0.6249, 0.6249, 0.1252)  6 Rh 2.62
Rh (0.1252, 0.6249, 0.6249)  6 Rh 2.62
Hf (0.0000, 0.0000, 0.0000)  12 Rh 3.07, 4 Lu 3.21

## Properties
E_form = -4.0 eV/f.u.
D(E_F) = 0.57 states/eV/atom
space group = F-43m (216)
uncorrected energy = -7.9842 eV per atom


Compound: LuHfRh
Source: Alexandria via LeMat-Bulk
Functional: PBE-GGA
Structure: optimized geometry

a b c (Å): 3.3534 3.3534 6.0274
angles (deg): 106.15 106.15 90.00
Closest atoms and distances in Å follow each position.
Atoms (fractional coordinates):
Lu (0.0151, 0.0151, 0.0302)  4 Rh 2.98, 5 Hf 3.23-3.31
Hf (0.3067, 0.3067, 0.6135)  4 Rh 2.77
Rh (0.6782, 0.6782, 0.3563)  4 Hf 2.77, 4 Lu 2.98

## Properties
E_form = -1.6 eV/f.u.
D(E_F) = 1.18 states/eV/atom
space group = I4mm (107)
uncorrected energy = -7.8066 eV per atom


Compound: LuHfZnRh
Source: Alexandria via LeMat-Bulk
Functional: PBE-GGA
Structure: optimized geometry

a b c (Å): 4.7454 4.7454 4.7454
angles (deg): 60.00 60.00 60.00
Closest atoms and distances in Å follow each position.
Atoms (fractional coordinates):
Lu (0.7500, 0.7500, 0.7500)  4 Rh 2.91, 4 Zn 2.91
Zn (0.0000, 0.0000, 0.0000)  4 Lu 2.91, 4 Hf 2.91
Hf (0.2500, 0.2500, 0.2500)  4 Rh 2.91, 4 Zn 2.91
Rh (0.5000, 0.5000, 0.5000)  4 Lu 2.91, 4 Hf 2.91

## Properties
E_form = -2.1 eV/f.u.
D(E_F) = 0.99 states/eV/atom
space group = F-43m (216)
uncorrected energy = -6.3065 eV per atom